[1]
VASP calculation (PBEsol) on an optimized crystal structure of KSrRu2.

Unit cell a=2.977 b=3.727 c=9.501 alpha=90.00 beta=91.95 gamma=90.00
Space group Pm (No. 6)
Symmetry-distinct sites (fractional):
K1 0.000 0.000 0.000 (multiplicity 1)
Sr1 0.565 0.500 0.577 (multiplicity 1)
Ru1 0.040 0.000 0.352 (multiplicity 1)
Ru2 0.530 0.500 0.265 (multiplicity 1)

## Properties
- ΔE_f: 0.62 eV/atom
- VASP energy: -5.207 eV/atom

[2]
VASP calculation (PBEsol) on an optimized crystal structure of LaGe2.

Unit cell a=4.235 b=4.235 c=15.514 alpha=90.00 beta=90.00 gamma=90.00
Space group I4_1/amd (No. 141, origin choice 2)
Symmetry-distinct sites (fractional):
La1 0.000 0.250 0.375 (multiplicity 4)
Ge1 0.000 0.250 0.793 (multiplicity 8)

## Properties
- ΔE_f: -0.73 eV/atom
- VASP energy: -5.808 eV/atom

[3]
VASP calculation (PBEsol) on an optimized crystal structure of Fe8O9.

Unit cell a=5.909 b=6.620 c=8.898 alpha=76.50 beta=89.61 gamma=76.96
Space group P1 (No. 1)
Symmetry-distinct sites (fractional):
Fe1 0.000 0.000 0.000 (multiplicity 1)
Fe2 0.002 0.992 0.686 (multiplicity 1)
Fe3 0.179 0.300 0.472 (multiplicity 1)
Fe4 0.189 0.313 0.120 (multiplicity 1)
Fe5 0.312 0.644 0.891 (multiplicity 1)
Fe6 0.320 0.660 0.575 (multiplicity 1)
Fe7 0.351 0.663 0.239 (multiplicity 1)
Fe8 0.476 0.992 0.016 (multiplicity 1)
Fe9 0.479 0.009 0.665 (multiplicity 1)
Fe10 0.652 0.320 0.451 (multiplicity 1)
Fe11 0.660 0.300 0.133 (multiplicity 1)
Fe12 0.684 0.322 0.794 (multiplicity 1)
Fe13 0.816 0.662 0.235 (multiplicity 1)
Fe14 0.828 0.670 0.560 (multiplicity 1)
Fe15 0.840 0.642 0.902 (multiplicity 1)
Fe16 0.983 0.979 0.345 (multiplicity 1)
O1 0.064 0.655 0.728 (multiplicity 1)
O2 0.084 0.650 0.073 (multiplicity 1)
O3 0.085 0.643 0.400 (multiplicity 1)
O4 0.229 0.990 0.180 (multiplicity 1)
O5 0.234 0.980 0.509 (multiplicity 1)
O6 0.258 0.975 0.844 (multiplicity 1)
O7 0.409 0.330 0.295 (multiplicity 1)
O8 0.430 0.319 0.954 (multiplicity 1)
O9 0.435 0.332 0.613 (multiplicity 1)
O10 0.579 0.648 0.063 (multiplicity 1)
O11 0.580 0.662 0.732 (multiplicity 1)
O12 0.587 0.628 0.413 (multiplicity 1)
O13 0.738 0.983 0.846 (multiplicity 1)
O14 0.744 0.006 0.513 (multiplicity 1)
O15 0.749 0.980 0.171 (multiplicity 1)
O16 0.884 0.323 0.602 (multiplicity 1)
O17 0.899 0.323 0.299 (multiplicity 1)
O18 0.916 0.320 0.968 (multiplicity 1)

## Properties
- Formation energy from raw total energies: -945 meV/atom
- Relative energy among the computed polymorphs: 0.0000 eV/atom
- VASP energy: -7.942 eV/atom

[4]
VASP calculation (PBEsol) on an optimized crystal structure of TcRh2Br.

Unit cell a=6.224 b=6.224 c=6.224 alpha=90.00 beta=90.00 gamma=90.00
Space group Fm-3m (No. 225)
Symmetry-distinct sites (fractional):
Tc1 0.000 0.000 0.000 (multiplicity 4)
Rh1 0.250 0.250 0.250 (multiplicity 8)
Br1 0.000 0.000 0.500 (multiplicity 4)

## Properties
- Formation energy from raw total energies: 882 meV/atom
- Relative energy among the computed polymorphs: 0.3460 eV/atom
- VASP energy: -6.471 eV/atom

[5]
VASP calculation (PBEsol) on an optimized crystal structure of CrTeBr.

Unit cell a=3.769 b=5.811 c=14.071 alpha=90.00 beta=90.00 gamma=90.00
Space group Fmm2 (No. 42)
Symmetry-distinct sites (fractional):
Cr1 0.000 0.000 0.000 (multiplicity 4)
Te1 0.000 0.000 0.368 (multiplicity 4)
Br1 0.000 0.000 0.620 (multiplicity 4)

## Properties
- Formation energy from raw total energies: -76 meV/atom
- VASP energy: -5.289 eV/atom

[6]
VASP calculation (PBEsol) on an optimized crystal structure of K2Li3GaO4.

Unit cell a=5.510 b=8.735 c=10.878 alpha=90.00 beta=111.17 gamma=90.00
Space group P2_1/c (No. 14)
Symmetry-distinct sites (fractional):
K1 0.206 0.007 0.362 (multiplicity 4)
K2 0.220 0.227 0.608 (multiplicity 4)
Li1 0.116 0.738 0.701 (multiplicity 4)
Li2 0.128 0.009 0.930 (multiplicity 4)
Li3 0.406 0.534 0.297 (multiplicity 4)
Ga1 0.397 0.712 0.563 (multiplicity 4)
O1 0.241 0.551 0.624 (multiplicity 4)
O2 0.248 0.178 0.857 (multiplicity 4)
O3 0.267 0.690 0.380 (multiplicity 4)
O4 0.280 0.606 0.114 (multiplicity 4)

## Properties
- Formation energy from raw total energies: -1809 meV/atom
- VASP energy: -5.059 eV/atom

[7]
VASP calculation (PBEsol) on an optimized crystal structure of Sr4CdMo.

Unit cell a=9.585 b=9.585 c=9.585 alpha=90.00 beta=90.00 gamma=90.00
Space group F-43m (No. 216)
Symmetry-distinct sites (fractional):
Sr1 0.125 0.125 0.125 (multiplicity 16)
Cd1 0.000 0.000 0.500 (multiplicity 4)
Mo1 0.250 0.250 0.750 (multiplicity 4)

## Properties
- ΔE_f: 1.10 eV/atom
- VASP energy: -2.291 eV/atom

[8]
VASP calculation (PBEsol) on an optimized crystal structure of ZrTaZnB2.

Unit cell a=4.318 b=4.318 c=4.996 alpha=90.00 beta=90.00 gamma=90.00
Space group P4/mmm (No. 123)
Symmetry-distinct sites (fractional):
Zr1 0.000 0.000 0.000 (multiplicity 1)
Ta1 0.000 0.000 0.500 (multiplicity 1)
Zn1 0.500 0.500 0.500 (multiplicity 1)
B1 0.000 0.500 0.000 (multiplicity 2)

## Properties
- ΔE_f: 1.99 eV/atom
- VASP energy: -5.462 eV/atom

[9]
VASP calculation (PBEsol) on an optimized crystal structure of MnOF.

Unit cell a=9.161 b=12.230 c=4.570 alpha=90.00 beta=90.25 gamma=90.00
Space group Cm (No. 8)
Symmetry-distinct sites (fractional):
Mn1 0.000 0.000 0.000 (multiplicity 2)
Mn2 0.026 0.500 0.126 (multiplicity 2)
Mn3 0.264 0.117 0.562 (multiplicity 4)
Mn4 0.265 0.366 0.559 (multiplicity 4)
Mn5 0.499 0.250 0.092 (multiplicity 4)
O1 0.110 0.370 0.273 (multiplicity 4)
O2 0.163 0.000 0.750 (multiplicity 2)
O3 0.352 0.241 0.384 (multiplicity 4)
O4 0.364 0.000 0.377 (multiplicity 2)
O5 0.407 0.370 0.872 (multiplicity 4)
F1 0.107 0.114 0.261 (multiplicity 4)
F2 0.156 0.235 0.784 (multiplicity 4)
F3 0.169 0.500 0.761 (multiplicity 2)
F4 0.364 0.500 0.351 (multiplicity 2)
F5 0.418 0.113 0.873 (multiplicity 4)

## Properties
- Formation energy from raw total energies: -1912 meV/atom
- VASP energy: -7.558 eV/atom

[10]
VASP calculation (PBEsol) on an optimized crystal structure of Cr3CoTe2P6O24.

Unit cell a=8.4716 b=8.4716 c=21.6462 alpha=90.00 beta=90.00 gamma=120.00
Space group R3 (No. 146, hexagonal axes)
Symmetry-distinct sites (fractional):
Cr1 0.0000 0.0000 0.0000 (multiplicity 3)
Cr2 0.0000 0.0000 0.2105 (multiplicity 3)
Cr3 0.0000 0.0000 0.5024 (multiplicity 3)
Co1 0.0000 0.0000 0.7086 (multiplicity 3)
Te1 0.0000 0.0000 0.3541 (multiplicity 3)
Te2 0.0000 0.0000 0.8502 (multiplicity 3)
P1 0.0001 0.2887 0.6067 (multiplicity 9)
P2 0.0021 0.7152 0.1068 (multiplicity 9)
O1 0.0050 0.1740 0.2713 (multiplicity 9)
O2 0.0065 0.1970 0.5473 (multiplicity 9)
O3 0.0124 0.8114 0.0468 (multiplicity 9)
O4 0.0295 0.8430 0.7757 (multiplicity 9)
O5 0.1422 0.4528 0.3336 (multiplicity 9)
O6 0.1420 0.6681 0.8328 (multiplicity 9)
O7 0.1677 0.6805 0.1065 (multiplicity 9)
O8 0.1773 0.4817 0.6051 (multiplicity 9)

## Properties
- Formation energy from raw total energies: -1790 meV/atom
- VASP energy: -7.519 eV/atom

[11]
VASP calculation (PBEsol) on an optimized crystal structure of GeSbTe2Pt.

Unit cell a=5.357 b=5.357 c=4.992 alpha=90.00 beta=90.00 gamma=90.00
Space group P4/mmm (No. 123)
Symmetry-distinct sites (fractional):
Ge1 0.000 0.000 0.000 (multiplicity 1)
Sb1 0.500 0.500 0.000 (multiplicity 1)
Te1 0.000 0.500 0.500 (multiplicity 2)
Pt1 0.500 0.500 0.500 (multiplicity 1)

## Properties
- Formation energy from raw total energies: 483 meV/atom
- VASP energy: -4.219 eV/atom

[12]
VASP calculation (PBEsol) on an optimized crystal structure of K2LiGaF6.

Unit cell a=7.936 b=7.936 c=7.936 alpha=90.00 beta=90.00 gamma=90.00
Space group Fm-3m (No. 225)
Symmetry-distinct sites (fractional):
K1 0.250 0.250 0.250 (multiplicity 8)
Li1 0.000 0.000 0.000 (multiplicity 4)
Ga1 0.000 0.000 0.500 (multiplicity 4)
F1 0.000 0.000 0.259 (multiplicity 24)

## Properties
- Formation energy from raw total energies: -2883 meV/atom
- VASP energy: -4.796 eV/atom

[13]
VASP calculation (PBEsol) on an optimized crystal structure of LiPtSe2.

Unit cell a=3.7646 b=3.7646 c=22.4222 alpha=90.00 beta=90.00 gamma=120.00
Space group R-3m (No. 166, hexagonal axes)
Symmetry-distinct sites (fractional):
Li1 0.0000 0.0000 0.0000 (multiplicity 3)
Pt1 0.0000 0.0000 0.5000 (multiplicity 3)
Se1 0.0000 0.0000 0.1092 (multiplicity 6)

## Properties
- Formation energy from raw total energies: -417 meV/atom
- VASP energy: -4.574 eV/atom

[14]
VASP calculation (PBEsol) on an optimized crystal structure of Ag3Pb.

Unit cell a=9.782 b=3.199 c=5.066 alpha=90.00 beta=103.03 gamma=90.00
Space group C2/m (No. 12)
Symmetry-distinct sites (fractional):
Ag1 0.000 0.000 0.000 (multiplicity 2)
Ag2 0.242 0.500 0.232 (multiplicity 4)
Pb1 0.000 0.500 0.500 (multiplicity 2)

## Properties
- ΔE_f: 0.11 eV/atom
- VASP energy: -3.369 eV/atom

[15]
VASP calculation (PBEsol) on an optimized crystal structure of Eu3NbO7.

Unit cell a=7.414 b=10.660 c=7.638 alpha=90.00 beta=90.00 gamma=90.00
Space group Cmcm (No. 63)
Symmetry-distinct sites (fractional):
Eu1 0.000 0.000 0.000 (multiplicity 4)
Eu2 0.235 0.268 0.250 (multiplicity 8)
Nb1 0.000 0.500 0.000 (multiplicity 4)
O1 0.000 0.128 0.750 (multiplicity 4)
O2 0.000 0.136 0.250 (multiplicity 4)
O3 0.000 0.438 0.250 (multiplicity 4)
O4 0.199 0.376 0.531 (multiplicity 16)

## Properties
- Formation energy from raw total energies: -2863 meV/atom
- Relative energy among the computed polymorphs: 0.0000 eV/atom
- VASP energy: -10.068 eV/atom

[16]
VASP calculation (PBEsol) on an optimized crystal structure of Ba2CaCu2MoO8.

Unit cell a=3.866 b=3.866 c=12.073 alpha=90.00 beta=90.00 gamma=90.00
Space group P4/mmm (No. 123)
Symmetry-distinct sites (fractional):
Ba1 0.000 0.000 0.210 (multiplicity 2)
Ca1 0.000 0.000 0.500 (multiplicity 1)
Cu1 0.500 0.500 0.378 (multiplicity 2)
Mo1 0.500 0.500 0.000 (multiplicity 1)
O1 0.000 0.500 0.000 (multiplicity 2)
O2 0.000 0.500 0.373 (multiplicity 4)
O3 0.500 0.500 0.155 (multiplicity 2)

## Properties
- Formation energy from raw total energies: -2059 meV/atom
- VASP energy: -6.977 eV/atom

[17]
VASP calculation (PBEsol) on an optimized crystal structure of Zn3Au.

Unit cell a=4.423 b=5.490 c=4.788 alpha=90.00 beta=90.00 gamma=90.00
Space group Pmmn (No. 59, origin choice 2)
Symmetry-distinct sites (fractional):
Zn1 0.250 0.003 0.167 (multiplicity 4)
Zn2 0.250 0.750 0.662 (multiplicity 2)
Au1 0.250 0.250 0.672 (multiplicity 2)

## Properties
- ΔE_f: -0.17 eV/atom
- VASP energy: -2.340 eV/atom

[18]
VASP calculation (PBEsol) on an optimized crystal structure of NaFe2BiP.

Unit cell a=4.300 b=4.300 c=5.530 alpha=90.00 beta=90.00 gamma=90.00
Space group P4/mmm (No. 123)
Symmetry-distinct sites (fractional):
Na1 0.000 0.000 0.000 (multiplicity 1)
Fe1 0.000 0.500 0.500 (multiplicity 2)
Bi1 0.500 0.500 0.000 (multiplicity 1)
P1 0.500 0.500 0.500 (multiplicity 1)

## Properties
- ΔE_f: 0.45 eV/atom
- VASP energy: -5.433 eV/atom

[19]
VASP calculation (PBEsol) on an optimized crystal structure of Ca5Pt3.

Unit cell a=8.4076 b=8.4076 c=6.2818 alpha=90.00 beta=90.00 gamma=120.00
Space group P6_3/mcm (No. 193)
Symmetry-distinct sites (fractional):
Ca1 0.0000 0.2624 0.2500 (multiplicity 6)
Ca2 0.3333 0.6667 0.0000 (multiplicity 4)
Pt1 0.0000 0.3908 0.7500 (multiplicity 6)

## Properties
- ΔE_f: -0.75 eV/atom
- Relative energy among the computed polymorphs: 0.0000 eV/atom
- VASP energy: -4.693 eV/atom

[20]
VASP calculation (PBEsol) on an optimized crystal structure of ScPt2Au.

Unit cell a=3.953 b=3.953 c=8.248 alpha=90.00 beta=90.00 gamma=90.00
Space group I-4m2 (No. 119)
Symmetry-distinct sites (fractional):
Sc1 0.000 0.000 0.000 (multiplicity 2)
Pt1 0.000 0.000 0.500 (multiplicity 2)
Pt2 0.000 0.500 0.250 (multiplicity 2)
Au1 0.000 0.500 0.750 (multiplicity 2)

## Properties
- ΔE_f: -0.86 eV/atom
- VASP energy: -6.975 eV/atom

Total moment: 0.00; 0.00; 31.37; 0.03; 3.50; 0.00; 3.82; 0.00; 4.00; 12.35; 0.00; 0.00; 0.00; 0.00; 18.00; 0.00; 0.00; 4.76; 0.00; 0.00 (μB per formula unit)